1.
# LaSb2P PBE optimized geometry
data_LaSb2P
_cell_length_a 4.2019
_cell_length_b 4.2019
_cell_length_c 22.5004
_cell_angle_alpha 90.00
_cell_angle_beta 90.00
_cell_angle_gamma 120.00
_symmetry_space_group_name_H-M 'R -3 m'
_symmetry_Int_Tables_number 166
_symmetry_space_group_name_Hall '-R 3 2"'
loop_
_atom_site_label
_atom_site_type_symbol
_atom_site_fract_x
_atom_site_fract_y
_atom_site_fract_z
_atom_site_occupancy
La1 La 0.0000 0.0000 0.0000 1
Sb1 Sb 0.0000 0.0000 0.2357 1
P1 P 0.0000 0.0000 0.5000 1
# Crystal system ... trigonal
# Energy relative to the elements, uncorrected ... -0.190 eV/atom
# ρ ... 5.99 g/cm3
# M_tot ... 0.000 μB per atom
# Electronic total energy ... -4.8357 eV/atom

2.
# LaSb2P PBE optimized geometry
data_LaSb2P
_cell_length_a 4.2896
_cell_length_b 4.2896
_cell_length_c 6.6413
_cell_angle_alpha 90.00
_cell_angle_beta 90.00
_cell_angle_gamma 90.00
_symmetry_space_group_name_H-M 'P 4 m m'
_symmetry_Int_Tables_number 99
loop_
_symmetry_equiv_pos_as_xyz
'x,y,z'
'-y,x,z'
'-x,-y,z'
'y,-x,z'
'-x,y,z'
'y,x,z'
'x,-y,z'
'-y,-x,z'
loop_
_atom_site_label
_atom_site_type_symbol
_atom_site_fract_x
_atom_site_fract_y
_atom_site_fract_z
_atom_site_occupancy
La1 La 0.0000 0.0000 0.0000 1
Sb1 Sb 0.0000 0.0000 0.5134 1
Sb2 Sb 0.5000 0.5000 0.6239 1
P1 P 0.5000 0.5000 0.0121 1
# Crystal system ... tetragonal
# Energy relative to the elements, uncorrected ... -0.651 eV/atom
# ρ ... 5.62 g/cm3
# M_tot ... 0.000 μB per atom
# Electronic total energy ... -5.2965 eV/atom

3.
# LaSb4P PBE optimized geometry
data_LaSb4P
_cell_length_a 8.7278
_cell_length_b 8.7278
_cell_length_c 8.7278
_cell_angle_alpha 90.00
_cell_angle_beta 90.00
_cell_angle_gamma 90.00
_symmetry_space_group_name_H-M 'F -4 3 m'
_symmetry_Int_Tables_number 216
_symmetry_space_group_name_Hall 'F -4 2 3'
loop_
_atom_site_label
_atom_site_type_symbol
_atom_site_fract_x
_atom_site_fract_y
_atom_site_fract_z
_atom_site_occupancy
La1 La 0.0000 0.0000 0.0000 1
Sb1 Sb 0.1236 0.1236 0.3764 1
P1 P 0.2500 0.2500 0.7500 1
# Crystal system ... cubic
# Energy relative to the elements, uncorrected ... 0.020 eV/atom
# ρ ... 6.56 g/cm3
# M_tot ... 0.000 μB per atom
# Electronic total energy ... -4.4509 eV/atom

4.
# La2SbP PBE optimized geometry
data_La2SbP
_cell_length_a 4.7709
_cell_length_b 6.0071
_cell_length_c 8.0355
_cell_angle_alpha 90.00
_cell_angle_beta 90.00
_cell_angle_gamma 90.00
_symmetry_space_group_name_H-M 'I m m m'
_symmetry_Int_Tables_number 71
_symmetry_space_group_name_Hall '-I 2 2'
loop_
_atom_site_label
_atom_site_type_symbol
_atom_site_fract_x
_atom_site_fract_y
_atom_site_fract_z
_atom_site_occupancy
La1 La 0.0000 0.0000 0.2319 1
Sb1 Sb 0.0000 0.5000 0.0000 1
P1 P 0.0000 0.5000 0.5000 1
# Crystal system ... orthorhombic
# Excess energy over the best structure of this formula in the dataset ... 1.310 eV/f.u.
# Energy relative to the elements, uncorrected ... -1.069 eV/atom
# ρ ... 6.21 g/cm3
# M_tot ... 0.000 μB per atom
# Electronic total energy ... -5.9163 eV/atom

5.
# LaSbP PBE optimized geometry
data_LaSbP
_cell_length_a 7.1751
_cell_length_b 7.1751
_cell_length_c 7.1751
_cell_angle_alpha 90.00
_cell_angle_beta 90.00
_cell_angle_gamma 90.00
_symmetry_space_group_name_H-M 'F -4 3 m'
_symmetry_Int_Tables_number 216
_symmetry_space_group_name_Hall 'F -4 2 3'
loop_
_atom_site_label
_atom_site_type_symbol
_atom_site_fract_x
_atom_site_fract_y
_atom_site_fract_z
_atom_site_occupancy
La1 La 0.0000 0.0000 0.0000 1
Sb1 Sb 0.2500 0.2500 0.7500 1
P1 P 0.0000 0.0000 0.5000 1
# Crystal system ... cubic
# Excess energy over the best structure of this formula in the dataset ... 2.024 eV/f.u.
# Energy relative to the elements, uncorrected ... -0.171 eV/atom
# ρ ... 5.24 g/cm3
# M_tot ... 0.000 μB per atom
# Electronic total energy ... -4.9905 eV/atom

6.
# La2SbP PBE optimized geometry
data_La2SbP
_cell_length_a 3.8111
_cell_length_b 3.8111
_cell_length_c 28.1055
_cell_angle_alpha 90.00
_cell_angle_beta 90.00
_cell_angle_gamma 120.00
_symmetry_space_group_name_H-M 'R 3 m'
_symmetry_Int_Tables_number 160
_symmetry_space_group_name_Hall 'R 3 -2"'
loop_
_atom_site_label
_atom_site_type_symbol
_atom_site_fract_x
_atom_site_fract_y
_atom_site_fract_z
_atom_site_occupancy
La1 La 0.0000 0.0000 0.0000 1
La2 La 0.0000 0.0000 0.2269 1
Sb1 Sb 0.0000 0.0000 0.7606 1
P1 P 0.0000 0.0000 0.4901 1
# Crystal system ... trigonal
# Excess energy over the best structure of this formula in the dataset ... 4.881 eV/f.u.
# Energy relative to the elements, uncorrected ... -0.177 eV/atom
# ρ ... 6.07 g/cm3
# M_tot ... 0.000 μB per atom
# Electronic total energy ... -5.0237 eV/atom

7.
# LaSbP2 PBE optimized geometry
data_LaSbP2
_cell_length_a 7.2300
_cell_length_b 7.2300
_cell_length_c 7.2300
_cell_angle_alpha 90.00
_cell_angle_beta 90.00
_cell_angle_gamma 90.00
_symmetry_space_group_name_H-M 'F -4 3 m'
_symmetry_Int_Tables_number 216
_symmetry_space_group_name_Hall 'F -4 2 3'
loop_
_atom_site_label
_atom_site_type_symbol
_atom_site_fract_x
_atom_site_fract_y
_atom_site_fract_z
_atom_site_occupancy
La1 La 0.0000 0.0000 0.0000 1
Sb1 Sb 0.2500 0.2500 0.2500 1
P1 P 0.0000 0.0000 0.5000 1
P2 P 0.2500 0.2500 0.7500 1
# Crystal system ... cubic
# Energy relative to the elements, uncorrected ... 0.004 eV/atom
# ρ ... 5.67 g/cm3
# M_tot ... 0.000 μB per atom
# Electronic total energy ... -4.9632 eV/atom

8.
# LaSb2P PBE optimized geometry
data_LaSb2P
_cell_length_a 4.3364
_cell_length_b 4.3619
_cell_length_c 6.3024
_cell_angle_alpha 90.00
_cell_angle_beta 109.91
_cell_angle_gamma 90.00
_symmetry_space_group_name_H-M 'P 1 m 1'
_symmetry_Int_Tables_number 6
loop_
_symmetry_equiv_pos_as_xyz
'x,y,z'
'x,-y,z'
loop_
_atom_site_label
_atom_site_type_symbol
_atom_site_fract_x
_atom_site_fract_y
_atom_site_fract_z
_atom_site_occupancy
La1 La 0.0000 0.0000 0.0000 1
Sb1 Sb 0.2943 0.0000 0.5639 1
Sb2 Sb 0.8219 0.5000 0.5028 1
P1 P 0.5469 0.5000 0.0773 1
# Crystal system ... monoclinic
# Energy relative to the elements, uncorrected ... -0.701 eV/atom
# ρ ... 6.12 g/cm3
# M_tot ... 0.000 μB per atom
# Electronic total energy ... -5.3464 eV/atom

9.
# LaSbP2 PBE optimized geometry
data_LaSbP2
_cell_length_a 6.2588
_cell_length_b 6.2588
_cell_length_c 13.5375
_cell_angle_alpha 90.00
_cell_angle_beta 90.00
_cell_angle_gamma 90.00
_symmetry_space_group_name_H-M 'I -4 2 d'
_symmetry_Int_Tables_number 122
_symmetry_space_group_name_Hall 'I -4 2bw'
loop_
_atom_site_label
_atom_site_type_symbol
_atom_site_fract_x
_atom_site_fract_y
_atom_site_fract_z
_atom_site_occupancy
La1 La 0.0000 0.0000 0.0000 1
Sb1 Sb 0.0000 0.0000 0.5000 1
P1 P 0.2247 0.2500 0.6250 1
# Crystal system ... tetragonal
# Energy relative to the elements, uncorrected ... -0.319 eV/atom
# ρ ... 4.04 g/cm3
# M_tot ... 0.000 μB per atom
# Electronic total energy ... -5.2865 eV/atom

10.
# LaSb3P5 PBE optimized geometry
data_LaSb3P5
_cell_length_a 9.0448
_cell_length_b 9.0448
_cell_length_c 7.1057
_cell_angle_alpha 90.00
_cell_angle_beta 90.00
_cell_angle_gamma 120.00
_symmetry_space_group_name_H-M 'P 63/m'
_symmetry_Int_Tables_number 176
_symmetry_space_group_name_Hall '-P 6c'
loop_
_atom_site_label
_atom_site_type_symbol
_atom_site_fract_x
_atom_site_fract_y
_atom_site_fract_z
_atom_site_occupancy
La1 La 0.0000 0.0000 0.0000 1
Sb1 Sb 0.0650 0.6565 0.2500 1
P1 P 0.0194 0.2763 0.2500 1
P2 P 0.3333 0.6667 0.0903 1
# Crystal system ... hexagonal
# Energy relative to the elements, uncorrected ... 0.101 eV/atom
# ρ ... 4.35 g/cm3
# M_tot ... 0.000 μB per atom
# Electronic total energy ... -4.8260 eV/atom

11.
# LaSbP PBE optimized geometry
data_LaSbP
_cell_length_a 4.6841
_cell_length_b 4.6841
_cell_length_c 8.2511
_cell_angle_alpha 90.00
_cell_angle_beta 90.00
_cell_angle_gamma 120.00
_symmetry_space_group_name_H-M 'P 63/m m c'
_symmetry_Int_Tables_number 194
_symmetry_space_group_name_Hall '-P 6c 2c'
loop_
_atom_site_label
_atom_site_type_symbol
_atom_site_fract_x
_atom_site_fract_y
_atom_site_fract_z
_atom_site_occupancy
La1 La 0.0000 0.0000 0.0000 1
Sb1 Sb 0.3333 0.6667 0.2500 1
P1 P 0.3333 0.6667 0.7500 1
# Crystal system ... hexagonal
# Excess energy over the best structure of this formula in the dataset ... 0.470 eV/f.u.
# Energy relative to the elements, uncorrected ... -0.689 eV/atom
# ρ ... 6.18 g/cm3
# M_tot ... 0.000 μB per atom
# Electronic total energy ... -5.5085 eV/atom

12.
# La2SbP PBE optimized geometry
data_La2SbP
_cell_length_a 7.6398
_cell_length_b 7.6398
_cell_length_c 7.6398
_cell_angle_alpha 90.00
_cell_angle_beta 90.00
_cell_angle_gamma 90.00
_symmetry_space_group_name_H-M 'F m -3 m'
_symmetry_Int_Tables_number 225
_symmetry_space_group_name_Hall '-F 4 2 3'
loop_
_atom_site_label
_atom_site_type_symbol
_atom_site_fract_x
_atom_site_fract_y
_atom_site_fract_z
_atom_site_occupancy
La1 La 0.2500 0.2500 0.2500 1
Sb1 Sb 0.0000 0.0000 0.0000 1
P1 P 0.0000 0.0000 0.5000 1
# Crystal system ... cubic
# Excess energy over the best structure of this formula in the dataset ... 1.523 eV/f.u.
# Energy relative to the elements, uncorrected ... -1.016 eV/atom
# ρ ... 6.41 g/cm3
# M_tot ... 0.000 μB per atom
# Electronic total energy ... -5.8631 eV/atom

13.
# LaSbP2 PBE optimized geometry
data_LaSbP2
_cell_length_a 4.3551
_cell_length_b 4.0654
_cell_length_c 5.9246
_cell_angle_alpha 90.00
_cell_angle_beta 102.56
_cell_angle_gamma 90.00
_symmetry_space_group_name_H-M 'P 1 2/m 1'
_symmetry_Int_Tables_number 10
loop_
_symmetry_equiv_pos_as_xyz
'x,y,z'
'-x,-y,-z'
'-x,y,-z'
'x,-y,z'
loop_
_atom_site_label
_atom_site_type_symbol
_atom_site_fract_x
_atom_site_fract_y
_atom_site_fract_z
_atom_site_occupancy
La1 La 0.0000 0.0000 0.0000 1
Sb1 Sb 0.5000 0.0000 0.5000 1
P1 P 0.3809 0.5000 0.8136 1
# Crystal system ... monoclinic
# Energy relative to the elements, uncorrected ... -0.636 eV/atom
# ρ ... 5.23 g/cm3
# M_tot ... 0.000 μB per atom
# Electronic total energy ... -5.6030 eV/atom

14.
# La2SbP PBE optimized geometry
data_La2SbP
_cell_length_a 5.6699
_cell_length_b 5.6699
_cell_length_c 6.7669
_cell_angle_alpha 90.00
_cell_angle_beta 90.00
_cell_angle_gamma 90.00
_symmetry_space_group_name_H-M 'I 4/m m m'
_symmetry_Int_Tables_number 139
_symmetry_space_group_name_Hall '-I 4 2'
loop_
_atom_site_label
_atom_site_type_symbol
_atom_site_fract_x
_atom_site_fract_y
_atom_site_fract_z
_atom_site_occupancy
La1 La 0.0000 0.5000 0.2500 1
Sb1 Sb 0.0000 0.0000 0.0000 1
P1 P 0.0000 0.0000 0.5000 1
# Crystal system ... tetragonal
# Excess energy over the best structure of this formula in the dataset ... 1.512 eV/f.u.
# Energy relative to the elements, uncorrected ... -1.019 eV/atom
# ρ ... 6.57 g/cm3
# M_tot ... 0.000 μB per atom
# Electronic total energy ... -5.8658 eV/atom

15.
# LaSb2P PBE optimized geometry
data_LaSb2P
_cell_length_a 4.0431
_cell_length_b 5.4411
_cell_length_c 9.3868
_cell_angle_alpha 90.00
_cell_angle_beta 90.00
_cell_angle_gamma 90.00
_symmetry_space_group_name_H-M 'I m m 2'
_symmetry_Int_Tables_number 44
loop_
_symmetry_equiv_pos_as_xyz
'x,y,z'
'-x,-y,z'
'-x,y,z'
'x,-y,z'
'x+1/2,y+1/2,z+1/2'
'-x+1/2,-y+1/2,z+1/2'
'-x+1/2,y+1/2,z+1/2'
'x+1/2,-y+1/2,z+1/2'
loop_
_atom_site_label
_atom_site_type_symbol
_atom_site_fract_x
_atom_site_fract_y
_atom_site_fract_z
_atom_site_occupancy
La1 La 0.0000 0.0000 0.0000 1
Sb1 Sb 0.0000 0.0000 0.5312 1
Sb2 Sb 0.0000 0.5000 0.7843 1
P1 P 0.0000 0.5000 0.2344 1
# Crystal system ... orthorhombic
# Energy relative to the elements, uncorrected ... -0.454 eV/atom
# ρ ... 6.65 g/cm3
# M_tot ... 0.000 μB per atom
# Electronic total energy ... -5.0995 eV/atom

16.
# LaSbP2 PBE optimized geometry
data_LaSbP2
_cell_length_a 4.1267
_cell_length_b 4.1267
_cell_length_c 20.7746
_cell_angle_alpha 90.00
_cell_angle_beta 90.00
_cell_angle_gamma 120.00
_symmetry_space_group_name_H-M 'R 3 m'
_symmetry_Int_Tables_number 160
_symmetry_space_group_name_Hall 'R 3 -2"'
loop_
_atom_site_label
_atom_site_type_symbol
_atom_site_fract_x
_atom_site_fract_y
_atom_site_fract_z
_atom_site_occupancy
La1 La 0.0000 0.0000 0.0000 1
Sb1 Sb 0.0000 0.0000 0.2149 1
P1 P 0.0000 0.0000 0.4770 1
P2 P 0.0000 0.0000 0.7408 1
# Crystal system ... trigonal
# Energy relative to the elements, uncorrected ... -0.296 eV/atom
# ρ ... 5.25 g/cm3
# M_tot ... 0.000 μB per atom
# Electronic total energy ... -5.2634 eV/atom

17.
# LaSb2P PBE optimized geometry
data_LaSb2P
_cell_length_a 4.3229
_cell_length_b 4.3229
_cell_length_c 11.0727
_cell_angle_alpha 90.00
_cell_angle_beta 90.00
_cell_angle_gamma 90.00
_symmetry_space_group_name_H-M 'I 4/m m m'
_symmetry_Int_Tables_number 139
_symmetry_space_group_name_Hall '-I 4 2'
loop_
_atom_site_label
_atom_site_type_symbol
_atom_site_fract_x
_atom_site_fract_y
_atom_site_fract_z
_atom_site_occupancy
La1 La 0.0000 0.0000 0.0000 1
Sb1 Sb 0.0000 0.5000 0.2500 1
P1 P 0.0000 0.0000 0.5000 1
# Crystal system ... tetragonal
# Energy relative to the elements, uncorrected ... -0.574 eV/atom
# ρ ... 6.63 g/cm3
# M_tot ... 0.000 μB per atom
# Electronic total energy ... -5.2196 eV/atom

18.
# LaSb2P PBE optimized geometry
data_LaSb2P
_cell_length_a 7.5022
_cell_length_b 7.5022
_cell_length_c 7.5022
_cell_angle_alpha 90.00
_cell_angle_beta 90.00
_cell_angle_gamma 90.00
_symmetry_space_group_name_H-M 'F -4 3 m'
_symmetry_Int_Tables_number 216
_symmetry_space_group_name_Hall 'F -4 2 3'
loop_
_atom_site_label
_atom_site_type_symbol
_atom_site_fract_x
_atom_site_fract_y
_atom_site_fract_z
_atom_site_occupancy
La1 La 0.0000 0.0000 0.0000 1
Sb1 Sb 0.0000 0.0000 0.5000 1
Sb2 Sb 0.2500 0.2500 0.7500 1
P1 P 0.2500 0.2500 0.2500 1
# Crystal system ... cubic
# Energy relative to the elements, uncorrected ... -0.285 eV/atom
# ρ ... 6.50 g/cm3
# M_tot ... 0.000 μB per atom
# Electronic total energy ... -4.9303 eV/atom

19.
# La2Sb2P PBE optimized geometry
data_La2Sb2P
_cell_length_a 8.0263
_cell_length_b 8.0263
_cell_length_c 4.8070
_cell_angle_alpha 90.00
_cell_angle_beta 90.00
_cell_angle_gamma 90.00
_symmetry_space_group_name_H-M 'P 4/m b m'
_symmetry_Int_Tables_number 127
_symmetry_space_group_name_Hall '-P 4 2ab'
loop_
_atom_site_label
_atom_site_type_symbol
_atom_site_fract_x
_atom_site_fract_y
_atom_site_fract_z
_atom_site_occupancy
La1 La 0.1818 0.3182 0.0000 1
Sb1 Sb 0.1235 0.6235 0.5000 1
P1 P 0.0000 0.0000 0.0000 1
# Crystal system ... tetragonal
# Energy relative to the elements, uncorrected ... -0.888 eV/atom
# ρ ... 5.92 g/cm3
# M_tot ... 0.000 μB per atom
# Electronic total energy ... -5.5896 eV/atom

20.
# La2SbP PBE optimized geometry
data_La2SbP
_cell_length_a 7.9821
_cell_length_b 7.9821
_cell_length_c 8.2752
_cell_angle_alpha 90.00
_cell_angle_beta 90.00
_cell_angle_gamma 90.00
_symmetry_space_group_name_H-M 'I -4 2 d'
_symmetry_Int_Tables_number 122
_symmetry_space_group_name_Hall 'I -4 2bw'
loop_
_atom_site_label
_atom_site_type_symbol
_atom_site_fract_x
_atom_site_fract_y
_atom_site_fract_z
_atom_site_occupancy
La1 La 0.2166 0.7500 0.1250 1
Sb1 Sb 0.0000 0.0000 0.5000 1
P1 P 0.0000 0.0000 0.0000 1
# Crystal system ... tetragonal
# Excess energy over the best structure of this formula in the dataset ... 1.246 eV/f.u.
# Energy relative to the elements, uncorrected ... -1.086 eV/atom
# ρ ... 5.42 g/cm3
# M_tot ... 0.000 μB per atom
# Electronic total energy ... -5.9324 eV/atom